# 1
A relaxed TaSi2Br crystal. Source: the Alexandria database, functional PBEsol.

Raw formation energy = 0.609 eV per atom
Magnetization = 0.00 μB/f.u.
Excess energy over the best structure of this formula in the dataset = 0.610 eV/atom
Crystal system = cubic
Calculated density = 7.97 g/cm3

Cell: 6.416 6.416 6.416 Å, 90.00 90.00 90.00°
Space group F-43m (No. 216)
One atom of each set of equivalent atoms:
Ta 0.000 0.000 0.000
Si 0.000 0.000 0.500
Si 0.250 0.250 0.250
Br 0.250 0.250 0.750

# 2
A relaxed Pm3Sc crystal. Source: the Alexandria database, functional PBEsol.

Magnetization = 0.00 μB/f.u.
Energy of formation = 0.04 eV per atom
Excess energy over the best structure of this formula in the dataset = 0.010 eV/atom
Crystal system = hexagonal
Calculated density = 6.61 g/cm3

Cell: 7.0591 7.0591 5.5844 Å, 90.00 90.00 120.00°
Space group P6_3/mmc (No. 194)
One atom of each set of equivalent atoms:
Pm 0.1697 0.3395 0.2500
Sc 0.3333 0.6667 0.7500

# 3
A relaxed Ag2OsPt crystal. Source: the Alexandria database, functional PBEsol.

Magnetization = 2.03 μB/f.u.
Energy of formation = 0.63 eV per atom
Excess energy over the best structure of this formula in the dataset = 0.387 eV/atom
Crystal system = tetragonal
Calculated density = 16.05 g/cm3

Cell: 3.842 3.842 8.427 Å, 90.00 90.00 90.00°
Space group I4/mmm (No. 139)
One atom of each set of equivalent atoms:
Ag 0.000 0.500 0.250
Os 0.000 0.000 0.000
Pt 0.000 0.000 0.500

# 4
A relaxed Sc2NiAg crystal. Source: the Alexandria database, functional PBEsol.

Magnetization = 0.00 μB/f.u.
Energy of formation = -0.34 eV per atom
Crystal system = tetragonal
Calculated density = 6.14 g/cm3

Cell: 4.601 4.601 3.278 Å, 90.00 90.00 90.00°
Space group P4/mmm (No. 123)
One atom of each set of equivalent atoms:
Sc 0.000 0.500 0.000
Ni 0.000 0.000 0.500
Ag 0.500 0.500 0.500